#P
Density functional theory data (PBE) for a relaxed PmDy5Y5 crystal.

Cell and atoms, written as POSCAR:
```
PmDy5Y5
1.0
6.899 0.000 0.000
2.144 6.593 0.000
1.984 1.435 8.020
Pm Dy Y
1 5 5
Direct
0.000 0.000 0.000
0.000 0.500 0.000
0.153 0.136 0.359
0.351 0.754 0.717
0.649 0.246 0.283
0.847 0.864 0.641
0.216 0.640 0.303
0.320 0.277 0.650
0.500 0.000 0.000
0.680 0.723 0.350
0.784 0.360 0.697
```

Output
For the volume, the calculation gives 364.8 Å³/cell. As for the density of states at the Fermi level: 15.86 states/eV/f.u. The value obtained for the magnetization is 0.00 μB per cell. Its space-group type is No. 2.

---

#Q
Density functional theory data (PBE) for a relaxed PmDy5Y5 crystal.

Cell and atoms, written as POSCAR:
```
PmDy5Y5
1.0
6.102 0.000 0.000
-3.051 5.285 0.000
0.000 0.000 11.500
Pm Dy Y
1 5 5
Direct
0.000 0.000 0.000
0.003 0.502 0.500
0.498 0.502 0.500
0.498 0.997 0.500
0.667 0.333 0.266
0.667 0.333 0.734
0.000 0.000 0.324
0.000 0.000 0.676
0.333 0.667 0.161
0.333 0.667 0.839
0.667 0.333 0.000
```

Output
For the volume, the calculation gives 370.8 Å³/cell. As for the density of states at the Fermi level: 20.15 states/eV/f.u. The value obtained for the magnetization is 0.00 μB per cell. Its space-group type is No. 187.

---

Energy ordering: #P at the bottom, the next structure 152 meV/atom above.